In2GeAu4 | PBE-GGA | optimized geometry

```
7
Lattice="2.346 1.355 7.899 -2.346 1.355 7.899 0.000 -2.709 7.899" Properties=species:S:1:pos:R:3 pbc="T T T"
In 0.000 0.000 5.741
In 0.000 0.000 17.956
Ge 0.000 0.000 0.000
Au 0.000 0.000 2.939
Au 0.000 0.000 8.838
Au 0.000 0.000 14.859
Au 0.000 0.000 20.758
```

Computed properties:
formation energy: -0.0092 eV per atom
energy above the most stable polymorph in this dataset: 0.55 eV/f.u.

***

InGeAu | PBE-GGA | optimized geometry

```
6
Lattice="3.323 0.000 0.000 0.000 6.187 0.000 -3.292 0.000 6.666" Properties=species:S:1:pos:R:3 pbc="T T T"
In 0.000 0.418 0.000
In -1.646 5.768 3.333
Ge 0.027 2.611 4.949
Ge 1.673 3.575 1.616
Au 0.013 1.755 2.491
Au -1.633 4.431 5.824
```

Computed properties:
formation energy: 0.0122 eV per atom

***

In3GeAu | PBE-GGA | optimized geometry

```
5
Lattice="5.365 0.000 0.000 0.000 5.365 0.000 0.000 0.000 5.365" Properties=species:S:1:pos:R:3 pbc="T T T"
In 0.000 0.000 2.683
In 0.000 2.683 0.000
In 2.683 0.000 0.000
Ge 0.000 0.000 0.000
Au 2.683 2.683 2.683
```

Computed properties:
formation energy: 0.4371 eV per atom
energy above the most stable polymorph in this dataset: 0.48 eV/f.u.

***

InGeAu4 | PBE-GGA | optimized geometry

```
6
Lattice="0.000 3.948 3.948 3.948 0.000 3.948 3.948 3.948 0.000" Properties=species:S:1:pos:R:3 pbc="T T T"
In 0.000 0.000 0.000
Ge 1.974 1.974 1.974
Au 4.934 2.961 2.961
Au 2.961 4.934 2.961
Au 2.961 2.961 4.934
Au 4.934 4.934 4.934
```

Computed properties:
formation energy: 0.0897 eV per atom
energy above the most stable polymorph in this dataset: 0.79 eV/f.u.

***

InGeAu | PBE-GGA | optimized geometry

```
6
Lattice="4.532 0.000 0.000 0.000 4.339 0.000 -0.633 0.000 6.960" Properties=species:S:1:pos:R:3 pbc="T T T"
In 0.000 0.000 0.000
In 1.915 2.169 1.504
Ge 1.524 0.000 4.549
Ge 3.482 0.000 2.885
Au 0.106 2.169 3.816
Au 2.438 2.169 5.844
```

Computed properties:
formation energy: 0.0291 eV per atom

***

InGeAu | PBE-GGA | optimized geometry

```
6
Lattice="4.619 0.000 0.000 0.000 4.633 0.000 0.000 0.000 6.393" Properties=species:S:1:pos:R:3 pbc="T T T"
In 1.155 1.158 0.002
In 3.464 3.475 6.391
Ge 1.155 1.158 3.195
Ge 3.464 3.475 3.198
Au 1.155 3.475 1.749
Au 3.464 1.158 4.644
```

Computed properties:
formation energy: -0.0319 eV per atom

***

In2GeAu2 | PBE-GGA | optimized geometry

```
5
Lattice="-1.934 1.934 7.611 1.934 -1.934 7.611 1.934 1.934 -7.611" Properties=species:S:1:pos:R:3 pbc="T T T"
In 0.000 0.000 1.543
In 0.000 0.000 13.679
Ge 0.000 0.000 7.611
Au 1.934 0.000 3.806
Au 0.000 1.934 3.806
```

Computed properties:
formation energy: 0.0667 eV per atom
energy above the most stable polymorph in this dataset: 0.33 eV/f.u.

***

InGeAu | PBE-GGA | optimized geometry

```
6
Lattice="4.431 0.000 0.000 0.420 5.247 0.000 1.910 1.973 5.880" Properties=species:S:1:pos:R:3 pbc="T T T"
In 0.000 0.000 0.000
In 2.054 2.754 1.299
Ge 4.530 1.478 2.970
Ge 6.122 4.872 4.447
Au 2.983 5.236 2.107
Au 3.950 3.464 4.587
```

Computed properties:
formation energy: 0.0250 eV per atom

***

In3GeAu | PBE-GGA | optimized geometry

```
5
Lattice="5.318 0.000 0.000 0.000 5.318 0.000 0.000 0.000 5.318" Properties=species:S:1:pos:R:3 pbc="T T T"
In 0.000 0.000 2.659
In 0.000 2.659 0.000
In 2.659 0.000 0.000
Ge 2.659 2.659 2.659
Au 0.000 0.000 0.000
```

Computed properties:
formation energy: 0.3414 eV per atom
energy above the most stable polymorph in this dataset: 0.00 eV/f.u.

***

InGeAu3 | PBE-GGA | optimized geometry

```
10
Lattice="5.093 0.000 0.000 0.000 7.272 0.000 -0.909 0.000 5.692" Properties=species:S:1:pos:R:3 pbc="T T T"
In 0.666 1.818 0.434
In 3.518 5.454 5.258
Ge 1.933 5.454 1.904
Ge 2.252 1.818 3.788
Au -0.331 1.818 3.142
Au 1.005 4.028 4.478
Au 1.005 6.880 4.478
Au 3.180 0.392 1.214
Au 3.180 3.244 1.214
Au 4.516 5.454 2.549
```

Computed properties:
formation energy: -0.0349 eV per atom
energy above the most stable polymorph in this dataset: 0.00 eV/f.u.

***

InGeAu4 | PBE-GGA | optimized geometry

```
12
Lattice="5.502 -3.798 0.000 5.502 3.798 0.000 -0.992 0.000 5.985" Properties=species:S:1:pos:R:3 pbc="T T T"
In 1.661 0.000 1.374
In 8.351 0.000 4.611
Ge 4.260 0.000 4.166
Ge 5.751 0.000 1.819
Au 4.089 1.557 0.388
Au 5.006 2.362 2.992
Au 1.725 0.000 4.176
Au 5.922 1.557 5.597
Au 4.089 -1.557 0.388
Au 8.287 0.000 1.808
Au 5.006 -2.362 2.992
Au 5.922 -1.557 5.597
```

Computed properties:
formation energy: -0.0415 eV per atom
energy above the most stable polymorph in this dataset: 0.00 eV/f.u.

***

InGeAu | PBE-GGA | optimized geometry

```
6
Lattice="4.881 -2.144 0.000 4.881 2.144 0.000 -3.311 0.000 6.364" Properties=species:S:1:pos:R:3 pbc="T T T"
In 0.529 0.000 1.926
In 5.922 0.000 4.438
Ge 3.573 0.000 0.456
Ge 2.877 0.000 5.908
Au -0.946 0.000 4.459
Au 7.396 0.000 1.905
```

Computed properties:
formation energy: -0.0130 eV per atom

***

InGeAu3 | PBE-GGA | optimized geometry

```
5
Lattice="5.152 0.000 0.000 0.000 5.152 0.000 0.000 0.000 5.152" Properties=species:S:1:pos:R:3 pbc="T T T"
In 0.000 0.000 0.000
Ge 2.576 2.576 2.576
Au 0.000 0.000 2.576
Au 0.000 2.576 0.000
Au 2.576 0.000 0.000
```

Computed properties:
formation energy: 0.6679 eV per atom
energy above the most stable polymorph in this dataset: 3.51 eV/f.u.

***

InGeAu | PBE-GGA | optimized geometry

```
6
Lattice="4.297 0.000 0.000 0.000 4.297 0.000 0.000 0.000 7.135" Properties=species:S:1:pos:R:3 pbc="T T T"
In 1.074 3.223 0.000
In 3.223 1.074 0.000
Ge 1.074 1.074 2.577
Ge 3.223 3.223 4.558
Au 1.074 1.074 5.136
Au 3.223 3.223 2.000
```

Computed properties:
formation energy: 0.1158 eV per atom

***

In3Ge2Au8 | PBE-GGA | optimized geometry

```
13
Lattice="5.049 -4.696 0.000 5.049 4.696 0.000 -0.706 0.000 5.843" Properties=species:S:1:pos:R:3 pbc="T T T"
In 0.000 0.000 0.000
In 4.696 2.280 2.921
In 4.696 -2.280 2.921
Ge 3.203 0.000 0.710
Ge 6.189 0.000 5.132
Au 2.291 2.507 4.497
Au 1.034 0.000 3.421
Au 3.738 0.000 4.269
Au 7.101 2.507 1.346
Au 2.291 -2.507 4.497
Au 5.654 0.000 1.573
Au 8.358 0.000 2.421
Au 7.101 -2.507 1.346
```

Computed properties:
formation energy: -0.0433 eV per atom

***

InGeAu3 | PBE-GGA | optimized geometry

```
10
Lattice="3.430 1.981 5.346 -3.430 1.981 5.346 0.000 -3.961 5.346" Properties=species:S:1:pos:R:3 pbc="T T T"
In 0.000 0.000 0.000
In 0.000 0.000 8.019
Ge 0.000 0.000 4.784
Ge 0.000 0.000 12.803
Au -2.797 0.432 7.958
Au 1.024 -2.638 7.958
Au -0.633 -1.548 10.631
Au -1.024 1.323 10.631
Au 1.658 0.226 10.631
Au 1.773 2.206 7.958
```

Computed properties:
formation energy: -0.0161 eV per atom
energy above the most stable polymorph in this dataset: 0.09 eV/f.u.

***

InGeAu | PBE-GGA | optimized geometry

```
12
Lattice="8.986 0.000 0.000 0.000 4.243 0.000 0.000 0.000 7.254" Properties=species:S:1:pos:R:3 pbc="T T T"
In 0.184 1.061 1.771
In 4.309 3.182 5.399
In 4.677 1.061 1.856
In 8.802 3.182 5.483
Ge 1.953 1.061 6.889
Ge 2.540 3.182 3.262
Ge 6.446 1.061 3.993
Ge 7.033 3.182 0.366
Au 1.442 1.061 4.346
Au 3.051 3.182 0.719
Au 5.935 1.061 6.536
Au 7.544 3.182 2.909
```

Computed properties:
formation energy: 0.0148 eV per atom

***

InGeAu4 | PBE-GGA | optimized geometry

```
12
Lattice="3.922 0.000 0.000 0.000 5.688 0.000 -1.034 0.000 10.918" Properties=species:S:1:pos:R:3 pbc="T T T"
In 0.450 1.422 4.584
In 2.437 4.266 6.334
Ge 1.352 4.266 0.665
Ge 1.535 1.422 10.253
Au 0.599 1.422 1.045
Au 0.520 4.266 4.268
Au 0.363 2.858 8.222
Au 0.363 5.675 8.222
Au 2.525 0.014 2.696
Au 2.525 2.831 2.696
Au 2.368 1.422 6.650
Au 2.288 4.266 9.873
```

Computed properties:
formation energy: -0.0344 eV per atom
energy above the most stable polymorph in this dataset: 0.04 eV/f.u.

***

InGeAu | PBE-GGA | optimized geometry

```
6
Lattice="3.879 -2.252 0.000 3.879 2.252 0.000 -2.696 0.000 7.869" Properties=species:S:1:pos:R:3 pbc="T T T"
In -0.054 0.000 2.816
In 5.117 0.000 5.054
Ge 2.581 0.000 1.030
Ge 2.481 0.000 6.839
Au 0.000 0.000 0.000
Au 2.531 0.000 3.935
```

Computed properties:
formation energy: -0.0565 eV per atom

***

InGeAu | PBE-GGA | optimized geometry

```
6
Lattice="4.115 0.000 0.000 2.056 4.759 0.000 0.016 1.013 7.028" Properties=species:S:1:pos:R:3 pbc="T T T"
In 1.042 1.021 0.816
In 5.144 4.750 6.212
Ge 3.095 4.458 3.552
Ge 3.091 1.313 3.475
Au 3.098 2.998 1.367
Au 3.088 2.773 5.661
```

Computed properties:
formation energy: -0.0393 eV per atom